Record 1
Mn3TcC after structural relaxation, computed with PBE. Values from VASP.

Structure (Quantum ESPRESSO input):
```
&SYSTEM
  ibrav = 0, nat = 10, ntyp = 3
/
ATOMIC_SPECIES
Mn 54.94 Mn.upf
Tc 98.00 Tc.upf
C 12.01 C.upf
CELL_PARAMETERS angstrom
5.2997 0.0000 0.0000
0.0000 4.7680 0.0000
0.0000 0.0000 4.3414
ATOMIC_POSITIONS angstrom
Mn 0.0000 0.7311 0.0000
Mn 1.3229 1.5113 2.1359
Mn 1.3270 3.2566 4.3066
Mn 2.6499 4.0369 2.1707
Mn 3.9769 1.5113 2.1359
Mn 3.9727 3.2566 4.3066
Tc 0.0000 4.0573 2.2268
Tc 2.6499 0.7107 0.0561
C 0.0000 2.3754 1.0480
C 2.6499 2.3926 3.2187
```

Computed properties:
The excess energy over the best structure of this formula in the dataset is 0 meV/atom. The value obtained for the density of states at the Fermi level is 0.774 states/eV per atom. For the formation enthalpy at 0 K, the calculation gives -0.010 eV/atom.



Record 2
Mn2TcC after structural relaxation, computed with PBE. Values from VASP.

Structure (Quantum ESPRESSO input):
```
&SYSTEM
  ibrav = 0, nat = 8, ntyp = 3
/
ATOMIC_SPECIES
Mn 54.94 Mn.upf
Tc 98.00 Tc.upf
C 12.01 C.upf
CELL_PARAMETERS angstrom
1.3615 -4.2353 0.0000
1.3615 4.2353 0.0000
0.0000 0.0000 7.0632
ATOMIC_POSITIONS angstrom
Mn 1.3615 3.0980 4.0395
Mn 1.3615 3.0980 6.5553
Mn 1.3615 -3.0980 0.5079
Mn 1.3615 -3.0980 3.0237
Tc 1.3615 0.7217 5.2974
Tc 1.3615 -0.7217 1.7658
C 1.3615 1.8201 1.7658
C 1.3615 -1.8201 5.2974
```

Computed properties:
The excess energy over the best structure of this formula in the dataset is 0 meV/atom. The value obtained for the density of states at the Fermi level is 0.971 states/eV per atom. For the formation enthalpy at 0 K, the calculation gives -0.002 eV/atom.



Record 3
Mn3TcC after structural relaxation, computed with PBE. Values from VASP.

Structure (Quantum ESPRESSO input):
```
&SYSTEM
  ibrav = 0, nat = 5, ntyp = 3
/
ATOMIC_SPECIES
Mn 54.94 Mn.upf
Tc 98.00 Tc.upf
C 12.01 C.upf
CELL_PARAMETERS angstrom
3.7700 0.0000 0.0000
0.0000 3.7700 0.0000
0.0000 0.0000 3.7700
ATOMIC_POSITIONS angstrom
Mn 0.0000 0.0000 1.8850
Mn 0.0000 1.8850 0.0000
Mn 1.8850 0.0000 0.0000
Tc 1.8850 1.8850 1.8850
C 0.0000 0.0000 0.0000
```

Computed properties:
The excess energy over the best structure of this formula in the dataset is 76 meV/atom. The value obtained for the density of states at the Fermi level is 1.090 states/eV per atom. For the formation enthalpy at 0 K, the calculation gives 0.066 eV/atom.



Record 4
Mn2TcC after structural relaxation, computed with PBE. Values from VASP.

Structure (Quantum ESPRESSO input):
```
&SYSTEM
  ibrav = 0, nat = 8, ntyp = 3
/
ATOMIC_SPECIES
Mn 54.94 Mn.upf
Tc 98.00 Tc.upf
C 12.01 C.upf
CELL_PARAMETERS angstrom
-2.5726 2.5726 4.0451
2.5726 -2.5726 4.0451
2.5726 2.5726 -4.0451
ATOMIC_POSITIONS angstrom
Mn 3.8588 0.8453 -1.0113
Mn 0.8453 1.2863 1.0113
Mn -1.2863 1.7272 3.0338
Mn 1.7272 1.2863 5.0563
Tc 2.5726 0.0000 2.0225
Tc 0.0000 0.0000 4.0451
C 0.0000 0.0000 0.0000
C 0.0000 2.5726 2.0225
```

Computed properties:
The excess energy over the best structure of this formula in the dataset is 745 meV/atom. The value obtained for the density of states at the Fermi level is 0.876 states/eV per atom. For the formation enthalpy at 0 K, the calculation gives 0.743 eV/atom.



no.,magnetization (μB per formula unit)
1,0.055
2,0.004
3,0.000
4,2.228